Record 1
Below is a relaxed structure of YScHg2, with properties calculated at the PBEsol level.

extended XYZ file:
```
4
Lattice="-2.486 -2.449 -0.355 0.779 -3.091 -1.464 1.606 -5.270 7.782" Properties=species:S:1:pos:R:3 pbc="T T T"
Hg 1.579 -5.226 7.675
Hg -0.074 -8.111 4.481
Sc 0.002 -5.487 3.183
Y -0.052 -2.661 1.389
```

**Energy above the lowest structure with this stoichiometry**: 369.1 meV/atom
**Space-group type**: No. 160
**Crystal system**: trigonal

=====

Record 2
Below is a relaxed structure of BWI2O, with properties calculated at the PBEsol level.

extended XYZ file:
```
5
Lattice="-0.307 -1.230 3.553 5.138 1.525 0.972 -1.753 4.918 1.552" Properties=species:S:1:pos:R:3 pbc="T T T"
I -0.876 2.459 0.776
I 2.569 0.762 0.486
B 1.539 2.606 3.038
O -0.153 -0.615 1.776
W 0.000 0.000 0.000
```

**E_form (uncorrected)**: 62 kJ per mole of atoms
**Energy above the lowest structure with this stoichiometry**: 0.0 meV/atom
**Space-group type**: No. 123
**Crystal system**: tetragonal

=====

Record 3
Below is a relaxed structure of MgSbPt2, with properties calculated at the PBEsol level.

extended XYZ file:
```
4
Lattice="-2.670 2.136 -0.906 -2.892 -3.201 0.976 0.171 1.906 3.987" Properties=species:S:1:pos:R:3 pbc="T T T"
Mg -2.696 0.421 2.029
Pt -1.446 -1.600 0.488
Pt 0.086 0.953 1.994
Sb -1.335 1.068 -0.453
```

**E_form (uncorrected)**: -47 kJ per mole of atoms
**Space-group type**: No. 65
**Crystal system**: orthorhombic

=====

Record 4
Below is a relaxed structure of NbGa2Pt, with properties calculated at the PBEsol level.

extended XYZ file:
```
4
Lattice="-0.889 -3.001 -3.131 3.250 -1.525 -2.591 1.426 -4.166 0.458" Properties=species:S:1:pos:R:3 pbc="T T T"
Nb 0.000 0.000 0.000
Ga 0.947 -2.173 -1.316
Ga 2.841 -6.520 -3.948
Pt 1.894 -4.346 -2.632
```

**Space-group type**: No. 225
**Crystal system**: cubic

=====

Record 5
Below is a relaxed structure of Zr3OsI, with properties calculated at the PBEsol level.

extended XYZ file:
```
5
Lattice="-1.558 3.883 2.849 -1.423 -3.231 3.626 4.600 0.315 2.086" Properties=species:S:1:pos:R:3 pbc="T T T"
I 0.810 0.483 4.281
Os 0.000 0.000 0.000
Zr -0.712 -1.616 1.813
Zr 2.300 0.158 1.043
Zr -0.779 1.941 1.424
```

**E_form (uncorrected)**: 29 kJ per mole of atoms
**Space-group type**: No. 221
**Crystal system**: cubic

=====

Record 6
Below is a relaxed structure of Na3YBr6, with properties calculated at the PBEsol level.

extended XYZ file:
```
20
Lattice="-5.719 -2.289 -3.536 4.381 -4.983 -3.861 -1.846 -7.349 7.389" Properties=species:S:1:pos:R:3 pbc="T T T"
Br -3.434 -12.127 1.186
Br -4.037 -6.738 1.178
Br 0.250 -2.493 -1.193
Br 0.853 -7.882 -1.185
Br -1.196 -8.404 -4.857
Br -2.261 -5.579 -2.079
Br -1.988 -6.217 4.849
Br -0.923 -9.042 2.072
Br -4.832 -9.292 3.776
Br -2.756 -9.440 -1.309
Br 1.648 -5.328 -3.784
Br -0.428 -5.180 1.302
Na -0.669 -3.636 -3.698
Na -0.923 -3.674 3.695
Na -2.683 -3.307 -0.212
Na 1.915 -4.941 -0.518
Na -0.501 -11.313 0.205
Na -5.099 -9.679 0.510
Y 0.000 0.000 0.000
Y -1.592 -7.310 -0.004
```

**E_form (uncorrected)**: -161 kJ per mole of atoms
**Space-group type**: No. 14
**Crystal system**: monoclinic

=====

Number 1: total magnetic moment 0.8 μB/f.u., raw total energy -15.38 eV for the cell shown. Number 2: total magnetic moment 0.0 μB/f.u., raw total energy -26.39 eV for the cell shown. Number 3: total magnetic moment 0.0 μB/f.u., raw total energy -22.16 eV for the cell shown. Number 4: total magnetic moment 1.1 μB/f.u., raw total energy -25.59 eV for the cell shown. Number 5: total magnetic moment 0.0 μB/f.u., raw total energy -39.75 eV for the cell shown. Number 6: total magnetic moment 0.0 μB/f.u., raw total energy -77.91 eV for the cell shown.